[1]
Compound: Li4ZnGe2
Source: Alexandria via LeMat-Bulk
Functional: PBE-GGA
Structure: optimized geometry

a b c (Å): 6.8461 4.8424 7.4954
angles (deg): 90.00 116.39 90.00
Space group P2_1/m (No. 11)
One atom of each set of equivalent atoms:
1 Li 0.0889 0.2500 0.1132 (multiplicity 2)
2 Li 0.2000 0.2500 0.7962 (multiplicity 2)
3 Li 0.3099 0.5032 0.4866 (multiplicity 4)
4 Zn 0.4595 0.7500 0.8531 (multiplicity 2)
5 Ge 0.0479 0.7500 0.6068 (multiplicity 2)
6 Ge 0.3556 0.7500 0.1710 (multiplicity 2)

## Properties
- magnetic moment (μB per cell) = 0.0
- DFT formation energy (eV/f.u.) = -1.55

[2]
Compound: LiZnGe2
Source: Alexandria via LeMat-Bulk
Functional: PBE-GGA
Structure: optimized geometry

a b c (Å): 7.6548 7.6548 5.2219
angles (deg): 90.00 90.00 90.00
Space group I-42d (No. 122)
One atom of each set of equivalent atoms:
1 Li 0.0000 0.0000 0.0000 (multiplicity 4)
2 Zn 0.0000 0.0000 0.5000 (multiplicity 4)
3 Ge 0.1959 0.2500 0.6250 (multiplicity 8)

## Properties
- polymorph energy (0 for the lowest one) (kJ/mol of formula units) = 67
- magnetic moment (μB per cell) = 0.0
- DFT formation energy (eV/f.u.) = 0.41

[3]
Compound: Li5ZnGe3
Source: Alexandria via LeMat-Bulk
Functional: PBE-GGA
Structure: optimized geometry

a b c (Å): 12.1757 9.6192 8.4972
angles (deg): 90.00 133.45 90.00
Space group C2/m (No. 12)
One atom of each set of equivalent atoms:
1 Li 0.0000 0.2323 0.0000 (multiplicity 4)
2 Li 0.0562 0.2342 0.7161 (multiplicity 8)
3 Li 0.2479 0.0000 0.5883 (multiplicity 4)
4 Li 0.2488 0.0000 0.2477 (multiplicity 4)
5 Zn 0.2376 0.5000 0.0543 (multiplicity 4)
6 Ge 0.0000 0.0000 0.5000 (multiplicity 2)
7 Ge 0.0000 0.5000 0.0000 (multiplicity 2)
8 Ge 0.0045 0.0000 0.8327 (multiplicity 4)
9 Ge 0.0086 0.5000 0.3466 (multiplicity 4)

## Properties
- magnetic moment (μB per cell) = 0.0
- DFT formation energy (eV/f.u.) = -1.21

[4]
Compound: LiZn4Ge
Source: Alexandria via LeMat-Bulk
Functional: PBE-GGA
Structure: optimized geometry

a b c (Å): 7.3526 7.3526 7.3526
angles (deg): 90.00 90.00 90.00
Space group F-43m (No. 216)
One atom of each set of equivalent atoms:
1 Li 0.0000 0.0000 0.0000 (multiplicity 4)
2 Zn 0.1256 0.1256 0.3744 (multiplicity 16)
3 Ge 0.2500 0.2500 0.7500 (multiplicity 4)

## Properties
- magnetic moment (μB per cell) = 0.0
- DFT formation energy (eV/f.u.) = -0.03

[5]
Compound: LiZnGe2
Source: Alexandria via LeMat-Bulk
Functional: PBE-GGA
Structure: optimized geometry

a b c (Å): 3.4162 3.4162 5.9612
angles (deg): 90.00 90.00 90.00
Space group P4/mmm (No. 123)
One atom of each set of equivalent atoms:
1 Li 0.0000 0.0000 0.0000 (multiplicity 1)
2 Zn 0.0000 0.0000 0.5000 (multiplicity 1)
3 Ge 0.5000 0.5000 0.2686 (multiplicity 2)

## Properties
- polymorph energy (0 for the lowest one) (kJ/mol of formula units) = 25
- magnetic moment (μB per cell) = 0.0
- DFT formation energy (eV/f.u.) = -0.03

[6]
Compound: Li6ZnGe
Source: Alexandria via LeMat-Bulk
Functional: PBE-GGA
Structure: optimized geometry

a b c (Å): 4.6000 5.7423 9.8206
angles (deg): 90.00 90.00 90.00
Space group Amm2 (No. 38)
One atom of each set of equivalent atoms:
1 Li 0.0000 0.0000 0.0000 (multiplicity 2)
2 Li 0.0000 0.2315 0.7676 (multiplicity 4)
3 Li 0.5000 0.0000 0.3432 (multiplicity 2)
4 Li 0.5000 0.2464 0.5906 (multiplicity 4)
5 Zn 0.0000 0.0000 0.5108 (multiplicity 2)
6 Ge 0.5000 0.0000 0.8423 (multiplicity 2)

## Properties
- magnetic moment (μB per cell) = 0.0
- DFT formation energy (eV/f.u.) = -1.55